Computed, not measured: a relaxed Ta2NiMoO crystal at the PBE+U level of DFT.

Properties
DFT total energy, eV/atom: -7.761
D(E_F), states/eV/cell: 2.2

abc: 4.307 4.307 3.808
angles: 90.00 90.00 90.00
Space group P4/mmm (No. 123)
Inequivalent atoms, fractional coordinates:
Ta (0.000, 0.500, 0.000) [2 per cell]
Ni (0.000, 0.000, 0.500) [1 per cell]
Mo (0.500, 0.500, 0.500) [1 per cell]
O (0.000, 0.000, 0.000) [1 per cell]